[1]
Compound: La2RuBr
Source: Alexandria via LeMat-Bulk
Functional: meta-GGA SCAN
Structure: single point on PBEsol structure Values from VASP.

- V: 97 Å³/cell
- SG: No. 123
- ΔE_f (raw): -947 meV per atom

```
&SYSTEM
  ibrav = 0, nat = 4, ntyp = 3
/
ATOMIC_SPECIES
La 138.91 La.upf
Ru 101.07 Ru.upf
Br 79.90 Br.upf
ATOMIC_POSITIONS angstrom
La 0.0000 0.0000 1.7591
La 0.0000 0.0000 6.4667
Ru 1.7161 1.7161 0.0000
Br 1.7161 1.7161 4.1129
CELL_PARAMETERS angstrom
3.4321 0.0000 0.0000
0.0000 3.4321 0.0000
0.0000 0.0000 8.2259
```

=====

[2]
Compound: KBe2Al
Source: Alexandria via LeMat-Bulk
Functional: meta-GGA SCAN
Structure: single point on PBEsol structure Values from VASP.

- Calculated formation energy: 0.540 eV per atom
- V: 67 Å³/cell
- SG: No. 99

```
&SYSTEM
  ibrav = 0, nat = 4, ntyp = 3
/
ATOMIC_SPECIES
K 39.10 K.upf
Be 9.01 Be.upf
Al 26.98 Al.upf
ATOMIC_POSITIONS angstrom
K 0.0000 0.0000 0.0000
Be 0.0000 0.0000 4.4760
Be 1.4532 1.4532 5.2777
Al 1.4532 1.4532 2.8094
CELL_PARAMETERS angstrom
2.9064 0.0000 0.0000
0.0000 2.9064 0.0000
0.0000 0.0000 7.9036
```

=====

[3]
Compound: Tl2Sb
Source: Alexandria via LeMat-Bulk
Functional: meta-GGA SCAN
Structure: single point on PBEsol structure Values from VASP.

- V: 356 Å³/cell
- SG: No. 141
- ΔE_f (raw): 22 meV per atom

```
&SYSTEM
  ibrav = 0, nat = 12, ntyp = 2
/
ATOMIC_SPECIES
Tl 204.38 Tl.upf
Sb 121.76 Sb.upf
ATOMIC_POSITIONS angstrom
Tl 0.0000 0.8253 9.7475
Tl 0.0000 0.8253 14.7714
Tl 0.0000 2.4758 17.9204
Tl 0.0000 2.4758 22.9443
Tl 1.6505 0.8253 1.5745
Tl 1.6505 0.8253 6.5984
Tl 1.6505 2.4758 26.0934
Tl 1.6505 2.4758 31.1173
Sb 0.0000 0.8253 28.6053
Sb 0.0000 2.4758 4.0865
Sb 1.6505 0.8253 20.4324
Sb 1.6505 2.4758 12.2594
CELL_PARAMETERS angstrom
3.3011 0.0000 0.0000
0.0000 3.3011 0.0000
0.0000 0.0000 32.6918
```

=====

[4]
Compound: Ba2Ti6N2O11
Source: Alexandria via LeMat-Bulk
Functional: meta-GGA SCAN
Structure: single point on PBEsol structure Values from VASP.

- V: 268 Å³/cell
- SG: No. 8
- ΔE_f (raw): -3092 meV per atom

```
&SYSTEM
  ibrav = 0, nat = 21, ntyp = 4
/
ATOMIC_SPECIES
Ba 137.33 Ba.upf
Ti 47.87 Ti.upf
N 14.01 N.upf
O 16.00 O.upf
ATOMIC_POSITIONS angstrom
Ba 0.0000 0.0000 0.0000
Ba 0.8235 0.0000 4.9559
Ti 3.2933 0.0000 8.9503
Ti 5.4142 0.0000 2.9545
Ti 5.6712 0.0000 6.1121
Ti 9.1021 0.0000 7.8692
Ti 10.7435 0.0000 1.7787
Ti 11.2696 0.0000 4.8211
N 1.7239 0.0000 7.8707
N 11.9760 0.0000 0.1400
O 3.5914 0.0000 1.8186
O 4.0532 0.0000 4.7527
O 4.7340 0.0000 7.7083
O 6.2735 0.0000 1.3966
O 6.6710 0.0000 4.2674
O 7.3244 0.0000 6.9074
O 9.3553 0.0000 0.6076
O 9.9020 0.0000 3.4982
O 10.0286 0.0000 6.1071
O 12.5021 0.0000 3.0650
O 13.0250 0.0000 5.8866
CELL_PARAMETERS angstrom
7.5791 -1.9559 0.0000
7.5791 1.9559 0.0000
-1.3321 0.0000 9.0258
```